First-principles (PBE) data for Ta2HgRh after structural relaxation, as listed in Alexandria via LeMat-Bulk.

Unit cell a=4.040 b=4.040 c=4.248 alpha=90.00 beta=90.00 gamma=90.00
Sites, in units of the cell vectors:
Ta1 0.000 0.500 0.000
Ta2 0.500 0.000 0.000
Hg1 0.000 0.000 0.500
Rh1 0.500 0.500 0.500

## Properties
Formation energy   0.033 eV per atom
Magnetization   0.0 μB/cell
Uncorrected energy   -0.5738 Ry per atom
D(E_F)   3.50 states/eV per cell